Below is a relaxed structure of RbCo2TcSb, with properties calculated at the PBE level.

```
data_RbCo2TcSb
_chemical_formula_sum 'Rb1 Co2 Tc1 Sb1'
_cell_length_a 4.945
_cell_length_b 4.945
_cell_length_c 5.267
_cell_angle_alpha 90.00
_cell_angle_beta 90.00
_cell_angle_gamma 90.00
_space_group_name_H-M_alt 'P 1'
_space_group_IT_number 1
_space_group_name_Hall 'P 1'
loop_
_atom_site_label
_atom_site_type_symbol
_atom_site_fract_x
_atom_site_fract_y
_atom_site_fract_z
_atom_site_occupancy
Rb1 Rb 0.000 0.000 0.000 1
Co1 Co 0.000 0.500 0.500 1
Co2 Co 0.500 0.000 0.500 1
Tc1 Tc 0.500 0.500 0.000 1
Sb1 Sb 0.500 0.500 0.500 1
```

Properties
SG: P4/mmm, No. 123
Size of the total moment (μB/cell): 6.62
E_form (uncorrected) (meV per atom): 1304

=====

Below is a relaxed structure of RbCoSb2Te, with properties calculated at the PBE level.

```
data_RbCoSb2Te
_chemical_formula_sum 'Rb1 Co1 Sb2 Te1'
_cell_length_a 4.950
_cell_length_b 4.950
_cell_length_c 5.946
_cell_angle_alpha 90.00
_cell_angle_beta 90.00
_cell_angle_gamma 90.00
_space_group_name_H-M_alt 'P 1'
_space_group_IT_number 1
_space_group_name_Hall 'P 1'
loop_
_atom_site_label
_atom_site_type_symbol
_atom_site_fract_x
_atom_site_fract_y
_atom_site_fract_z
_atom_site_occupancy
Rb1 Rb 0.000 0.000 0.000 1
Co1 Co 0.500 0.500 0.500 1
Sb1 Sb 0.000 0.500 0.500 1
Sb2 Sb 0.500 0.000 0.500 1
Te1 Te 0.500 0.500 0.000 1
```

Properties
SG: P4/mmm, No. 123
Size of the total moment (μB/cell): 0.00
Distance to the lowest polymorph of the same formula (meV per atom): 0
E_form (uncorrected) (meV per atom): 10

=====

Below is a relaxed structure of RbCoSbTe2, with properties calculated at the PBE level.

```
data_RbCoSbTe2
_chemical_formula_sum 'Rb1 Co1 Sb1 Te2'
_cell_length_a 6.204
_cell_length_b 6.204
_cell_length_c 6.038
_cell_angle_alpha 90.00
_cell_angle_beta 90.00
_cell_angle_gamma 90.00
_space_group_name_H-M_alt 'P 1'
_space_group_IT_number 1
_space_group_name_Hall 'P 1'
loop_
_atom_site_label
_atom_site_type_symbol
_atom_site_fract_x
_atom_site_fract_y
_atom_site_fract_z
_atom_site_occupancy
Rb1 Rb 0.000 0.000 0.000 1
Co1 Co 0.500 0.500 0.500 1
Sb1 Sb 0.000 0.000 0.500 1
Te1 Te 0.000 0.500 0.000 1
Te2 Te 0.500 0.000 0.000 1
```

Properties
SG: P4/mmm, No. 123
Size of the total moment (μB/cell): 2.64
Distance to the lowest polymorph of the same formula (meV per atom): 1790
E_form (uncorrected) (meV per atom): 1748

=====

Which value of size of the total moment does entry 1 give? 6.62 μB/cell

=====

Which formula does entry 3 have? RbCoSbTe2

=====

Repeat the third record exactly.
Below is a relaxed structure of RbCoSbTe2, with properties calculated at the PBE level.

```
data_RbCoSbTe2
_chemical_formula_sum 'Rb1 Co1 Sb1 Te2'
_cell_length_a 6.204
_cell_length_b 6.204
_cell_length_c 6.038
_cell_angle_alpha 90.00
_cell_angle_beta 90.00
_cell_angle_gamma 90.00
_space_group_name_H-M_alt 'P 1'
_space_group_IT_number 1
_space_group_name_Hall 'P 1'
loop_
_atom_site_label
_atom_site_type_symbol
_atom_site_fract_x
_atom_site_fract_y
_atom_site_fract_z
_atom_site_occupancy
Rb1 Rb 0.000 0.000 0.000 1
Co1 Co 0.500 0.500 0.500 1
Sb1 Sb 0.000 0.000 0.500 1
Te1 Te 0.000 0.500 0.000 1
Te2 Te 0.500 0.000 0.000 1
```

Properties
SG: P4/mmm, No. 123
Size of the total moment (μB/cell): 2.64
Distance to the lowest polymorph of the same formula (meV per atom): 1790
E_form (uncorrected) (meV per atom): 1748

=====

Which of these has the highest E_form (uncorrected)? RbCoSbTe2